Entry 1:
# PBE-GGA LiAgSeO4, relaxed
data_LiAgSeO4
_chemical_formula_sum 'Li2 Ag2 Se2 O8'
_space_group_name_H-M_alt 'I -4'
_space_group_IT_number 82
_cell_length_a 5.337
_cell_length_b 5.337
_cell_length_c 7.877
_cell_angle_alpha 90.00
_cell_angle_beta 90.00
_cell_angle_gamma 90.00
loop_
_space_group_symop_operation_xyz
'x,y,z'
'y,-x,-z'
'-x,-y,z'
'-y,x,-z'
'x+1/2,y+1/2,z+1/2'
'y+1/2,-x+1/2,-z+1/2'
'-x+1/2,-y+1/2,z+1/2'
'-y+1/2,x+1/2,-z+1/2'
loop_
_atom_site_label
_atom_site_type_symbol
_atom_site_fract_x
_atom_site_fract_y
_atom_site_fract_z
Li1 Li 0.000 0.000 0.000
Ag1 Ag 0.000 0.000 0.500
Se1 Se 0.000 0.500 0.250
O1 O 0.150 0.288 0.129
# - magnetic moment (μB per atom) = 0.0000
# - DOS(E_F) (states/eV per atom) = 0.00
# - formation energy from raw total energies (eV per atom) = -0.93

Entry 2:
# PBE-GGA AgSnSbTe3, relaxed
data_AgSnSbTe3
_chemical_formula_sum 'Ag2 Sn2 Sb2 Te6'
_space_group_name_H-M_alt 'P 1 21/m 1'
_space_group_IT_number 11
_cell_length_a 8.885
_cell_length_b 4.336
_cell_length_c 9.856
_cell_angle_alpha 90.00
_cell_angle_beta 100.51
_cell_angle_gamma 90.00
loop_
_space_group_symop_operation_xyz
'x,y,z'
'-x,-y,-z'
'-x,y+1/2,-z'
'x,-y+1/2,z'
loop_
_atom_site_label
_atom_site_type_symbol
_atom_site_fract_x
_atom_site_fract_y
_atom_site_fract_z
Ag1 Ag 0.069 0.250 0.088
Sn1 Sn 0.192 0.250 0.778
Sb1 Sb 0.325 0.750 0.364
Te1 Te 0.093 0.250 0.378
Te2 Te 0.264 0.750 0.014
Te3 Te 0.418 0.750 0.665
# - magnetic moment (μB per atom) = 0.0000
# - formation energy from raw total energies (eV per atom) = -0.13

Entry 3:
# PBE-GGA Er4ZnPt, relaxed
data_Er4ZnPt
_chemical_formula_sum 'Er4 Zn1 Pt1'
_space_group_name_H-M_alt 'P 4/m m m'
_space_group_IT_number 123
_space_group_name_Hall '-P 4 2'
_cell_length_a 4.843
_cell_length_b 4.843
_cell_length_c 6.918
_cell_angle_alpha 90.00
_cell_angle_beta 90.00
_cell_angle_gamma 90.00
loop_
_atom_site_label
_atom_site_type_symbol
_atom_site_fract_x
_atom_site_fract_y
_atom_site_fract_z
Er1 Er 0.000 0.500 0.244
Zn1 Zn 0.000 0.000 0.500
Pt1 Pt 0.500 0.500 0.000
# - magnetic moment (μB per atom) = 0.0001
# - relative energy among the computed polymorphs (eV/f.u.) = 0.970
# - DOS(E_F) (states/eV per atom) = 1.20
# - DFT formation energy (eV/atom) = -0.442

Entry 4:
# PBE-GGA Na3CaTl3Br8, relaxed
data_Na3CaTl3Br8
_chemical_formula_sum 'Na9 Ca3 Tl9 Br24'
_space_group_name_H-M_alt 'R -3 m'
_space_group_IT_number 166
_space_group_name_Hall '-R 3 2"'
_cell_length_a 8.7913
_cell_length_b 8.7913
_cell_length_c 23.1872
_cell_angle_alpha 90.00
_cell_angle_beta 90.00
_cell_angle_gamma 120.00
loop_
_atom_site_label
_atom_site_type_symbol
_atom_site_fract_x
_atom_site_fract_y
_atom_site_fract_z
Na1 Na 0.0000 0.5000 0.0000
Ca1 Ca 0.0000 0.0000 0.0000
Tl1 Tl 0.0000 0.5000 0.5000
Br1 Br 0.0000 0.0000 0.2615
Br2 Br 0.0130 0.5065 0.7366
# - magnetic moment (μB per atom) = 0.0000
# - DOS(E_F) (states/eV per atom) = 0.00
# - formation energy from raw total energies (eV per atom) = -1.38

Entry 5:
# PBE-GGA LaMn, relaxed
data_LaMn
_chemical_formula_sum 'La4 Mn4'
_space_group_name_H-M_alt 'F -4 3 m'
_space_group_IT_number 216
_space_group_name_Hall 'F -4 2 3'
_cell_length_a 6.427
_cell_length_b 6.427
_cell_length_c 6.427
_cell_angle_alpha 90.00
_cell_angle_beta 90.00
_cell_angle_gamma 90.00
loop_
_atom_site_label
_atom_site_type_symbol
_atom_site_fract_x
_atom_site_fract_y
_atom_site_fract_z
La1 La 0.000 0.000 0.000
Mn1 Mn 0.250 0.250 0.250
# - magnetic moment (μB per atom) = 1.2160
# - DOS(E_F) (states/eV per atom) = 1.00
# - DFT formation energy (eV/atom) = 1.278

Entry 6:
# PBE-GGA CrFe2SiC, relaxed
data_CrFe2SiC
_chemical_formula_sum 'Cr1 Fe2 Si1 C1'
_space_group_name_H-M_alt 'P 4/m m m'
_space_group_IT_number 123
_space_group_name_Hall '-P 4 2'
_cell_length_a 3.715
_cell_length_b 3.715
_cell_length_c 3.813
_cell_angle_alpha 90.00
_cell_angle_beta 90.00
_cell_angle_gamma 90.00
loop_
_atom_site_label
_atom_site_type_symbol
_atom_site_fract_x
_atom_site_fract_y
_atom_site_fract_z
Cr1 Cr 0.000 0.000 0.000
Fe1 Fe 0.000 0.500 0.500
Si1 Si 0.500 0.500 0.000
C1 C 0.000 0.000 0.500
# - magnetic moment (μB per atom) = 0.4448
# - DOS(E_F) (states/eV per atom) = 0.79
# - formation energy from raw total energies (eV per atom) = -0.06

Entry 7:
# PBE-GGA Pm8HoGe6, relaxed
data_Pm8HoGe6
_chemical_formula_sum 'Pm24 Ho3 Ge18'
_space_group_name_H-M_alt 'R -3'
_space_group_IT_number 148
_space_group_name_Hall '-R 3'
_cell_length_a 7.9299
_cell_length_b 7.9299
_cell_length_c 24.2112
_cell_angle_alpha 90.00
_cell_angle_beta 90.00
_cell_angle_gamma 120.00
loop_
_atom_site_label
_atom_site_type_symbol
_atom_site_fract_x
_atom_site_fract_y
_atom_site_fract_z
Pm1 Pm 0.0000 0.0000 0.1667
Pm2 Pm 0.0001 0.3355 0.6179
Ho1 Ho 0.0000 0.0000 0.5000
Ge1 Ge 0.0004 0.3296 0.4316
# - magnetic moment (μB per atom) = 0.0000
# - DOS(E_F) (states/eV per atom) = 0.57
# - DFT formation energy (eV/atom) = -0.605

Entry 8:
# PBE-GGA BaZnRh2, relaxed
data_BaZnRh2
_chemical_formula_sum 'Ba1 Zn1 Rh2'
_space_group_name_H-M_alt 'P 4/m m m'
_space_group_IT_number 123
_space_group_name_Hall '-P 4 2'
_cell_length_a 4.497
_cell_length_b 4.497
_cell_length_c 3.887
_cell_angle_alpha 90.00
_cell_angle_beta 90.00
_cell_angle_gamma 90.00
loop_
_atom_site_label
_atom_site_type_symbol
_atom_site_fract_x
_atom_site_fract_y
_atom_site_fract_z
Ba1 Ba 0.000 0.000 0.000
Zn1 Zn 0.500 0.500 0.000
Rh1 Rh 0.000 0.500 0.500
# - magnetic moment (μB per atom) = 0.0000
# - DOS(E_F) (states/eV per atom) = 0.75
# - DFT formation energy (eV/atom) = 0.199

Entry 9:
# PBE-GGA NiHgRh2, relaxed
data_NiHgRh2
_chemical_formula_sum 'Ni4 Hg4 Rh8'
_space_group_name_H-M_alt 'I -4 2 d'
_space_group_IT_number 122
_space_group_name_Hall 'I -4 2bw'
_cell_length_a 7.135
_cell_length_b 7.135
_cell_length_c 5.210
_cell_angle_alpha 90.00
_cell_angle_beta 90.00
_cell_angle_gamma 90.00
loop_
_atom_site_label
_atom_site_type_symbol
_atom_site_fract_x
_atom_site_fract_y
_atom_site_fract_z
Ni1 Ni 0.000 0.000 0.000
Hg1 Hg 0.000 0.000 0.500
Rh1 Rh 0.206 0.250 0.125
# - magnetic moment (μB per atom) = 0.5130
# - DOS(E_F) (states/eV per atom) = 1.14
# - DFT formation energy (eV/atom) = 0.518

Entry 10:
# PBE-GGA CaNdGa3, relaxed
data_CaNdGa3
_chemical_formula_sum 'Ca4 Nd4 Ga12'
_space_group_name_H-M_alt 'C m c m'
_space_group_IT_number 63
_space_group_name_Hall '-C 2c 2'
_cell_length_a 4.267
_cell_length_b 26.402
_cell_length_c 4.289
_cell_angle_alpha 90.00
_cell_angle_beta 90.00
_cell_angle_gamma 90.00
loop_
_atom_site_label
_atom_site_type_symbol
_atom_site_fract_x
_atom_site_fract_y
_atom_site_fract_z
Ca1 Ca 0.000 0.205 0.250
Nd1 Nd 0.000 0.071 0.750
Ga1 Ga 0.000 0.329 0.250
Ga2 Ga 0.000 0.382 0.750
Ga3 Ga 0.000 0.476 0.750
# - magnetic moment (μB per atom) = 0.0000
# - DOS(E_F) (states/eV per atom) = 0.49
# - DFT formation energy (eV/atom) = -0.600

Entry 11:
# PBE-GGA KMnCl3, relaxed
data_KMnCl3
_chemical_formula_sum 'K4 Mn4 Cl12'
_space_group_name_H-M_alt 'I -4 m 2'
_space_group_IT_number 119
_space_group_name_Hall 'I -4 -2'
_cell_length_a 6.465
_cell_length_b 6.465
_cell_length_c 14.209
_cell_angle_alpha 90.00
_cell_angle_beta 90.00
_cell_angle_gamma 90.00
loop_
_atom_site_label
_atom_site_type_symbol
_atom_site_fract_x
_atom_site_fract_y
_atom_site_fract_z
K1 K 0.000 0.000 0.137
Mn1 Mn 0.000 0.000 0.500
Mn2 Mn 0.000 0.500 0.250
Cl1 Cl 0.000 0.235 0.357
Cl2 Cl 0.000 0.500 0.571
# - magnetic moment (μB per atom) = 1.0000
# - DOS(E_F) (states/eV per atom) = 0.00
# - formation energy from raw total energies (eV per atom) = -1.13

Entry 12:
# PBE-GGA NbTlN3, relaxed
data_NbTlN3
_chemical_formula_sum 'Nb1 Tl1 N3'
_space_group_name_H-M_alt 'P m -3 m'
_space_group_IT_number 221
_space_group_name_Hall '-P 4 2 3'
_cell_length_a 4.177
_cell_length_b 4.177
_cell_length_c 4.177
_cell_angle_alpha 90.00
_cell_angle_beta 90.00
_cell_angle_gamma 90.00
loop_
_atom_site_label
_atom_site_type_symbol
_atom_site_fract_x
_atom_site_fract_y
_atom_site_fract_z
Nb1 Nb 0.000 0.000 0.000
Tl1 Tl 0.500 0.500 0.500
N1 N 0.000 0.000 0.500
# - magnetic moment (μB per atom) = 0.5288
# - DOS(E_F) (states/eV per atom) = 0.37
# - formation energy from raw total energies (eV per atom) = 0.58